1.
First-principles (PBE) data for a relaxed TaNbFeRe crystal, as listed in Alexandria.

a b c (Å): 6.3033 6.3033 6.3033
angles (deg): 90.00 90.00 90.00
Closest atoms and distances in Å follow each position.
Space group F-43m (No. 216)
Inequivalent atoms, fractional coordinates:
Ta1 0.0000 0.0000 0.0000 [4 per cell]  4 Re 2.73, 4 Fe 2.73
Nb1 0.0000 0.0000 0.5000 [4 per cell]  4 Fe 2.73, 4 Re 2.73
Fe1 0.2500 0.2500 0.2500 [4 per cell]  4 Ta 2.73, 4 Nb 2.73
Re1 0.2500 0.2500 0.7500 [4 per cell]  4 Nb 2.73, 4 Ta 2.73

## Properties
**Energy of formation**: -0.198 eV/atom
**Spin magnetization**: 0.814 μB per formula unit
**E**: -10.9060 eV per atom

***

2.
First-principles (PBE) data for a relaxed CsTe3O crystal, as listed in Alexandria.

a b c (Å): 6.1727 8.9308 7.4231
angles (deg): 90.00 102.69 90.00
Closest atoms and distances in Å follow each position.
Space group P2_1/m (No. 11)
Inequivalent atoms, fractional coordinates:
Cs1 0.0922 0.2500 0.4262 [2 per cell]  2 O 3.11-3.17
Te1 0.3488 0.7500 0.2300 [2 per cell]  1 O 1.92
Te2 0.4759 0.5594 0.8211 [4 per cell]  2 Te 2.81-3.02, 1 O 2.92
O1 0.3818 0.7500 0.4937 [2 per cell]  1 Te 1.92

## Properties
**Uncorrected formation energy**: -2.6 eV per formula unit
**Spin magnetization**: 0.000 μB per formula unit
**E**: -3.5580 eV per atom

***

3.
First-principles (PBE) data for a relaxed Pr3Nd4Zn4 crystal, as listed in Alexandria.

a b c (Å): 4.8197 8.1250 16.2170
angles (deg): 90.00 90.00 90.00
Closest atoms and distances in Å follow each position.
Space group Immm (No. 71)
Inequivalent atoms, fractional coordinates:
Pr1 0.0000 0.0000 0.0000 [2 per cell]  6 Zn 3.58-3.67, 8 Nd 3.98
Pr2 0.0000 0.5000 0.1128 [4 per cell]  6 Zn 3.29-3.62, 4 Nd 3.51, 1 Pr 3.66
Nd1 0.0000 0.2960 0.3339 [8 per cell]  4 Zn 2.91-3.06
Zn1 0.0000 0.0000 0.2207 [4 per cell]  6 Nd 3.03-3.06
Zn2 0.0000 0.1595 0.5000 [4 per cell]  1 Zn 2.59

## Properties
**Energy of formation**: -0.115 eV/atom
**Spin magnetization**: 0.000 μB per formula unit
**E**: -3.6152 eV per atom

***

4.
First-principles (PBE) data for a relaxed AcSbRh crystal, as listed in Alexandria.

a b c (Å): 12.1774 4.5699 5.9172
angles (deg): 90.00 103.37 90.00
Closest atoms and distances in Å follow each position.
Space group C2/m (No. 12)
Inequivalent atoms, fractional coordinates:
Ac1 0.1232 0.0000 0.3009 [4 per cell]  4 Rh 3.11-3.31, 2 Sb 3.49
Sb1 0.0991 0.5000 0.7879 [4 per cell]  3 Rh 2.63-2.80
Rh1 0.2092 0.0000 0.8445 [4 per cell]  3 Sb 2.63-2.80

## Properties
**Uncorrected formation energy**: -2.7 eV per formula unit
**Spin magnetization**: 0.000 μB per formula unit
**E**: -6.0912 eV per atom

***

What did the second record say?
First-principles (PBE) data for a relaxed CsTe3O crystal, as listed in Alexandria.

a b c (Å): 6.1727 8.9308 7.4231
angles (deg): 90.00 102.69 90.00
Closest atoms and distances in Å follow each position.
Space group P2_1/m (No. 11)
Inequivalent atoms, fractional coordinates:
Cs1 0.0922 0.2500 0.4262 [2 per cell]  2 O 3.11-3.17
Te1 0.3488 0.7500 0.2300 [2 per cell]  1 O 1.92
Te2 0.4759 0.5594 0.8211 [4 per cell]  2 Te 2.81-3.02, 1 O 2.92
O1 0.3818 0.7500 0.4937 [2 per cell]  1 Te 1.92

## Properties
**Uncorrected formation energy**: -2.6 eV per formula unit
**Spin magnetization**: 0.000 μB per formula unit
**E**: -3.5580 eV per atom

***

Q: Among the records above, which one has the highest spin magnetization?
A: TaNbFeRe

***

Please write out number 3 again, unchanged.
First-principles (PBE) data for a relaxed Pr3Nd4Zn4 crystal, as listed in Alexandria.

a b c (Å): 4.8197 8.1250 16.2170
angles (deg): 90.00 90.00 90.00
Closest atoms and distances in Å follow each position.
Space group Immm (No. 71)
Inequivalent atoms, fractional coordinates:
Pr1 0.0000 0.0000 0.0000 [2 per cell]  6 Zn 3.58-3.67, 8 Nd 3.98
Pr2 0.0000 0.5000 0.1128 [4 per cell]  6 Zn 3.29-3.62, 4 Nd 3.51, 1 Pr 3.66
Nd1 0.0000 0.2960 0.3339 [8 per cell]  4 Zn 2.91-3.06
Zn1 0.0000 0.0000 0.2207 [4 per cell]  6 Nd 3.03-3.06
Zn2 0.0000 0.1595 0.5000 [4 per cell]  1 Zn 2.59

## Properties
**Energy of formation**: -0.115 eV/atom
**Spin magnetization**: 0.000 μB per formula unit
**E**: -3.6152 eV per atom

***

Q: The lowest E belongs to which entry?
A: TaNbFeRe